1.
First-principles (PBE) data for an optimized crystal structure of SrAl2Pt2, as listed in the Open Quantum Materials Database.

Cell lengths 4.2139, 4.2139, 11.3497 Å; angles 90.00, 90.00, 90.00 degrees
With the nearest neighbours (Å) after each atom.
Space group I4/mmm (No. 139)
Asymmetric unit:
Sr 0.0000 0.0000 0.0000 (multiplicity 2)  8 Pt 3.30, 8 Al 3.53
Al 0.0000 0.5000 0.2500 (multiplicity 4)  4 Pt 2.54
Pt 0.0000 0.0000 0.3745 (multiplicity 4)  4 Al 2.54

2.
First-principles (PBE) data for an optimized crystal structure of TbAl2Pt2, as listed in the Open Quantum Materials Database.

Cell lengths 4.0492, 4.0492, 11.4659 Å; angles 90.00, 90.00, 90.00 degrees
With the nearest neighbours (Å) after each atom.
Space group I4/mmm (No. 139)
Asymmetric unit:
Tb 0.0000 0.0000 0.0000 (multiplicity 2)  8 Pt 3.17, 8 Al 3.51
Al 0.0000 0.5000 0.2500 (multiplicity 4)  4 Pt 2.52
Pt 0.0000 0.0000 0.3814 (multiplicity 4)  4 Al 2.52, 1 Pt 2.72

Final energy for every record listed, in sequence, given in eV/atom: -5.26, -5.97.